[1]
First-principles (PBE) data for crystalline ZrGa2Pd at its relaxed geometry, as listed in Alexandria.

```
4
Lattice="3.121 0.000 0.000 0.000 3.121 0.000 0.000 0.000 6.920" Properties=species:S:1:pos:R:3 pbc="T T T"
Zr 0.000 0.000 0.000
Ga 1.561 1.561 1.947
Ga 1.561 1.561 4.973
Pd 0.000 0.000 3.460
```

Properties
* crystal system: tetragonal
* formation enthalpy at 0 K: -0.5951 eV/atom

=====

[2]
First-principles (PBE) data for crystalline La2Al4HgPt3 at its relaxed geometry, as listed in Alexandria.

```
10
Lattice="4.413 0.000 0.000 0.000 4.413 0.000 0.000 0.000 10.515" Properties=species:S:1:pos:R:3 pbc="T T T"
La 0.000 2.206 2.557
La 2.206 0.000 7.958
Al 0.000 0.000 0.000
Al 0.000 2.206 6.704
Al 2.206 0.000 3.812
Al 2.206 2.206 0.000
Hg 0.000 0.000 5.258
Pt 0.000 2.206 9.190
Pt 2.206 0.000 1.325
Pt 2.206 2.206 5.258
```

Properties
* crystal system: tetragonal
* formation enthalpy at 0 K: -0.9401 eV/atom

=====

[3]
First-principles (PBE) data for crystalline BaPr2CrN4 at its relaxed geometry, as listed in Alexandria.

```
16
Lattice="1.793 -6.338 0.000 1.793 6.338 0.000 0.000 0.000 12.231" Properties=species:S:1:pos:R:3 pbc="T T T"
Ba 1.793 5.267 9.173
Ba 1.793 -5.267 3.058
Pr 1.793 1.657 6.631
Pr 1.793 1.657 11.715
Pr 1.793 -1.657 0.516
Pr 1.793 -1.657 5.600
Cr 1.793 4.010 3.058
Cr 1.793 -4.010 9.173
N 0.000 0.000 0.000
N 0.000 0.000 6.115
N 1.793 3.054 1.565
N 1.793 3.054 4.551
N 1.793 1.407 9.173
N 1.793 -1.407 3.058
N 1.793 -3.054 7.680
N 1.793 -3.054 10.666
```

Properties
* formation energy without anion corrections: -0.970 eV/atom
* crystal system: orthorhombic